Entry 1:
The following is a PBE with a Hubbard U calculation of a relaxed RbNiPbF6 crystal, from Alexandria.

M_tot in μB/f.u.: 2.9
Mass density in g cm⁻³: 4.5
VASP energy in eV/f.u.: -38.9

Structure (POSCAR):
```
RbNiPbF6
1.0
5.7764 0.0287 0.0104
2.9249 5.0444 0.0180
-0.0324 -0.0632 5.9654
F Rb Ni Pb
6 1 1 1
direct
0.9695 0.3894 0.3058 F
0.3897 0.9720 0.6941 F
0.9683 0.6421 0.6942 F
0.6399 0.9647 0.3042 F
0.6403 0.3950 0.6956 F
0.3907 0.6374 0.3057 F
0.0006 0.9998 0.0003 Rb
0.6655 0.6671 0.4999 Ni
0.3354 0.3325 0.5003 Pb
```



Entry 2:
The following is a PBE with a Hubbard U calculation of a relaxed SiNiPb2F crystal, from Alexandria.

M_tot in μB/f.u.: 0.0
Mass density in g cm⁻³: 7.8
VASP energy in eV/f.u.: -17.1

Structure (POSCAR):
```
SiNiPb2F
1.0
5.4201 0.0000 0.0000
0.0000 3.7649 0.0000
0.0000 0.0000 5.4201
Ni Pb F Si
1 2 1 1
direct
0.0000 0.0000 0.0000 Ni
0.5000 0.0000 0.0000 Pb
0.0000 0.0000 0.5000 Pb
0.0000 0.5000 0.0000 F
0.5000 0.5000 0.5000 Si
```